{"formula": "CaNdFeSnO6", "functional": "PBE with a Hubbard U", "state": "optimized geometry", "lattice": [[0.781, -4.415, 3.442], [-4.442, -2.496, 2.447], [-1.589, -5.172, -1.633]], "species": ["Ca", "Fe", "O", "O", "O", "O", "O", "O", "Sn", "Nd"], "fractional_positions": [[0.250, 0.250, 0.250], [0.000, 0.000, 0.000], [0.247, 0.753, 0.753], [0.753, 0.247, 0.247], [0.247, 0.247, 0.753], [0.753, 0.753, 0.247], [0.247, 0.753, 0.247], [0.753, 0.247, 0.753], [0.500, 0.500, 0.500], [0.750, 0.750, 0.750]], "total_magnetization_mub_per_atom": 0.5000, "spacegroup": "F-43m (216)", "final_energy_ev_per_atom": -6.799, "volume_a3_per_atom": 12.8}